# YRe2Ag, relaxed, DFT PBE
data_YRe2Ag
_chemical_formula_sum 'Y4 Re8 Ag4'
_space_group_name_H-M_alt 'F -4 3 m'
_space_group_IT_number 216
_space_group_name_Hall 'F -4 2 3'
_cell_length_a 6.5823
_cell_length_b 6.5823
_cell_length_c 6.5823
_cell_angle_alpha 90.00
_cell_angle_beta 90.00
_cell_angle_gamma 90.00
loop_
_atom_site_label
_atom_site_type_symbol
_atom_site_fract_x
_atom_site_fract_y
_atom_site_fract_z
Y1 Y 0.0000 0.0000 0.0000
Re1 Re 0.0000 0.0000 0.5000
Re2 Re 0.2500 0.2500 0.7500
Ag1 Ag 0.2500 0.2500 0.2500
# Theoretical density: 13.257 g/cm³
# E_form: 0.43 eV/atom
# V: 17.8 A^3/atom